The following is a GGA-PBE calculation of a relaxed Y5Ag2Pd crystal, from Alexandria.

## Properties
symmetry: Pbam (55)
calculated volume: 417 Å³/cell
calculated formation energy: -0.36 eV per atom

CIF file:
```
data_Y5Ag2Pd
_space_group_name_H-M_alt 'P 1'
_space_group_IT_number 1
_cell_length_a 6.853
_cell_length_b 12.075
_cell_length_c 5.035
_cell_angle_alpha 90.00
_cell_angle_beta 90.00
_cell_angle_gamma 90.00
loop_
_space_group_symop_operation_xyz
'x,y,z'
loop_
_atom_site_label
_atom_site_type_symbol
_atom_site_fract_x
_atom_site_fract_y
_atom_site_fract_z
Y1 Y 0.000 0.000 0.000
Y2 Y 0.151 0.287 0.000
Y3 Y 0.172 0.597 0.500
Y4 Y 0.328 0.097 0.500
Y5 Y 0.349 0.787 0.000
Y6 Y 0.500 0.500 0.000
Y7 Y 0.651 0.213 0.000
Y8 Y 0.672 0.903 0.500
Y9 Y 0.828 0.403 0.500
Y10 Y 0.849 0.713 0.000
Ag1 Ag 0.095 0.851 0.500
Ag2 Ag 0.405 0.351 0.500
Ag3 Ag 0.595 0.649 0.500
Ag4 Ag 0.905 0.149 0.500
Pd1 Pd 0.000 0.500 0.000
Pd2 Pd 0.500 0.000 0.000
```

***

The following is a GGA-PBE calculation of a relaxed Hg3CBr crystal, from Alexandria.

## Properties
symmetry: Pm-3m (221)
energy relative to the elements, uncorrected: 1.64 eV per atom
calculated volume: 228 Å³/cell
energy above the lowest structure with this stoichiometry: 0.9733 eV per atom

CIF file:
```
data_Hg3CBr
_space_group_name_H-M_alt 'P 1'
_space_group_IT_number 1
_cell_length_a 6.105
_cell_length_b 6.105
_cell_length_c 6.105
_cell_angle_alpha 90.00
_cell_angle_beta 90.00
_cell_angle_gamma 90.00
loop_
_space_group_symop_operation_xyz
'x,y,z'
loop_
_atom_site_label
_atom_site_type_symbol
_atom_site_fract_x
_atom_site_fract_y
_atom_site_fract_z
Hg1 Hg 0.000 0.000 0.500
Hg2 Hg 0.000 0.500 0.000
Hg3 Hg 0.500 0.000 0.000
C1 C 0.500 0.500 0.500
Br1 Br 0.000 0.000 0.000
```

***

The following is a GGA-PBE calculation of a relaxed TbTh2Nb crystal, from Alexandria.

## Properties
symmetry: P4/mmm (123)
calculated volume: 113 Å³/cell
energy above the lowest structure with this stoichiometry: 0.0000 eV per atom
calculated formation energy: 0.17 eV per atom

CIF file:
```
data_TbTh2Nb
_space_group_name_H-M_alt 'P 1'
_space_group_IT_number 1
_cell_length_a 3.663
_cell_length_b 3.663
_cell_length_c 8.457
_cell_angle_alpha 90.00
_cell_angle_beta 90.00
_cell_angle_gamma 90.00
loop_
_space_group_symop_operation_xyz
'x,y,z'
loop_
_atom_site_label
_atom_site_type_symbol
_atom_site_fract_x
_atom_site_fract_y
_atom_site_fract_z
Tb1 Tb 0.000 0.000 0.000
Th1 Th 0.500 0.500 0.284
Th2 Th 0.500 0.500 0.716
Nb1 Nb 0.000 0.000 0.500
```

***

The following is a GGA-PBE calculation of a relaxed Ce14PuTh crystal, from Alexandria.

## Properties
symmetry: Amm2 (38)
calculated volume: 422 Å³/cell
calculated formation energy: 0.02 eV per atom

CIF file:
```
data_Ce14PuTh
_space_group_name_H-M_alt 'P 1'
_space_group_IT_number 1
_cell_length_a 9.434
_cell_length_b 6.687
_cell_length_c 6.687
_cell_angle_alpha 89.98
_cell_angle_beta 90.00
_cell_angle_gamma 90.00
loop_
_space_group_symop_operation_xyz
'x,y,z'
loop_
_atom_site_label
_atom_site_type_symbol
_atom_site_fract_x
_atom_site_fract_y
_atom_site_fract_z
Ce1 Ce 0.000 0.000 0.000
Ce2 Ce 0.000 0.000 0.500
Ce3 Ce 0.000 0.499 0.499
Ce4 Ce 0.000 0.500 0.000
Ce5 Ce 0.248 0.248 0.248
Ce6 Ce 0.248 0.248 0.752
Ce7 Ce 0.248 0.751 0.751
Ce8 Ce 0.248 0.752 0.248
Ce9 Ce 0.500 0.000 0.500
Ce10 Ce 0.500 0.500 0.000
Ce11 Ce 0.752 0.248 0.248
Ce12 Ce 0.752 0.248 0.752
Ce13 Ce 0.752 0.751 0.751
Ce14 Ce 0.752 0.752 0.248
Pu1 Pu 0.500 0.999 0.999
Th1 Th 0.500 0.500 0.500
```

***

The following is a GGA-PBE calculation of a relaxed Tl3ReB crystal, from Alexandria.

## Properties
symmetry: Pm-3m (221)
calculated volume: 117 Å³/cell
energy above the lowest structure with this stoichiometry: 0.0227 eV per atom
calculated formation energy: 1.61 eV per atom

CIF file:
```
data_Tl3ReB
_space_group_name_H-M_alt 'P 1'
_space_group_IT_number 1
_cell_length_a 4.885
_cell_length_b 4.885
_cell_length_c 4.885
_cell_angle_alpha 90.00
_cell_angle_beta 90.00
_cell_angle_gamma 90.00
loop_
_space_group_symop_operation_xyz
'x,y,z'
loop_
_atom_site_label
_atom_site_type_symbol
_atom_site_fract_x
_atom_site_fract_y
_atom_site_fract_z
Tl1 Tl 0.000 0.000 0.500
Tl2 Tl 0.000 0.500 0.000
Tl3 Tl 0.500 0.000 0.000
Re1 Re 0.500 0.500 0.500
B1 B 0.000 0.000 0.000
```

***

The following is a GGA-PBE calculation of a relaxed Li3BiPd3 crystal, from Alexandria.

## Properties
symmetry: P6_3/m (176)
calculated volume: 227 Å³/cell
energy above the lowest structure with this stoichiometry: 0.0210 eV per atom
calculated formation energy: -0.40 eV per atom

CIF file:
```
data_Li3BiPd3
_space_group_name_H-M_alt 'P 1'
_space_group_IT_number 1
_cell_length_a 7.494
_cell_length_b 7.494
_cell_length_c 4.664
_cell_angle_alpha 90.00
_cell_angle_beta 90.00
_cell_angle_gamma 120.00
loop_
_space_group_symop_operation_xyz
'x,y,z'
loop_
_atom_site_label
_atom_site_type_symbol
_atom_site_fract_x
_atom_site_fract_y
_atom_site_fract_z
Li1 Li 0.093 0.447 0.250
Li2 Li 0.354 0.907 0.250
Li3 Li 0.447 0.354 0.750
Li4 Li 0.553 0.646 0.250
Li5 Li 0.646 0.093 0.750
Li6 Li 0.907 0.553 0.750
Bi1 Bi 0.333 0.667 0.750
Bi2 Bi 0.667 0.333 0.250
Pd1 Pd 0.054 0.240 0.750
Pd2 Pd 0.186 0.946 0.750
Pd3 Pd 0.240 0.186 0.250
Pd4 Pd 0.760 0.814 0.750
Pd5 Pd 0.814 0.054 0.250
Pd6 Pd 0.946 0.760 0.250
```

***

The following is a GGA-PBE calculation of a relaxed Er2TmTlN crystal, from Alexandria.

## Properties
symmetry: P4/mmm (123)
energy relative to the elements, uncorrected: -0.95 eV per atom
calculated volume: 108 Å³/cell

CIF file:
```
data_Er2TmTlN
_space_group_name_H-M_alt 'P 1'
_space_group_IT_number 1
_cell_length_a 4.765
_cell_length_b 4.765
_cell_length_c 4.737
_cell_angle_alpha 90.00
_cell_angle_beta 90.00
_cell_angle_gamma 90.00
loop_
_space_group_symop_operation_xyz
'x,y,z'
loop_
_atom_site_label
_atom_site_type_symbol
_atom_site_fract_x
_atom_site_fract_y
_atom_site_fract_z
Er1 Er 0.000 0.500 0.000
Er2 Er 0.500 0.000 0.000
Tm1 Tm 0.000 0.000 0.500
Tl1 Tl 0.500 0.500 0.500
N1 N 0.000 0.000 0.000
```

***

The following is a GGA-PBE calculation of a relaxed Ta2OsF crystal, from Alexandria.

## Properties
symmetry: Fm-3m (225)
energy relative to the elements, uncorrected: -0.30 eV per atom
calculated volume: 62 Å³/cell
energy above the lowest structure with this stoichiometry: 0.0000 eV per atom

CIF file:
```
data_Ta2OsF
_space_group_name_H-M_alt 'P 1'
_space_group_IT_number 1
_cell_length_a 4.446
_cell_length_b 4.446
_cell_length_c 4.446
_cell_angle_alpha 60.00
_cell_angle_beta 60.00
_cell_angle_gamma 60.00
loop_
_space_group_symop_operation_xyz
'x,y,z'
loop_
_atom_site_label
_atom_site_type_symbol
_atom_site_fract_x
_atom_site_fract_y
_atom_site_fract_z
Ta1 Ta 0.250 0.250 0.250
Ta2 Ta 0.750 0.750 0.750
Os1 Os 0.000 0.000 0.000
F1 F 0.500 0.500 0.500
```

***

The following is a GGA-PBE calculation of a relaxed V5TcMo4 crystal, from Alexandria.

## Properties
symmetry: P4/mmm (123)
calculated volume: 144 Å³/cell
calculated formation energy: -0.19 eV per atom

CIF file:
```
data_V5TcMo4
_space_group_name_H-M_alt 'P 1'
_space_group_IT_number 1
_cell_length_a 3.062
_cell_length_b 3.062
_cell_length_c 15.331
_cell_angle_alpha 90.00
_cell_angle_beta 90.00
_cell_angle_gamma 90.00
loop_
_space_group_symop_operation_xyz
'x,y,z'
loop_
_atom_site_label
_atom_site_type_symbol
_atom_site_fract_x
_atom_site_fract_y
_atom_site_fract_z
V1 V 0.000 0.000 0.000
V2 V 0.000 0.000 0.201
V3 V 0.000 0.000 0.402
V4 V 0.000 0.000 0.598
V5 V 0.000 0.000 0.799
Tc1 Tc 0.500 0.500 0.500
Mo1 Mo 0.500 0.500 0.101
Mo2 Mo 0.500 0.500 0.301
Mo3 Mo 0.500 0.500 0.699
Mo4 Mo 0.500 0.500 0.899
```

***

The following is a GGA-PBE calculation of a relaxed LiEuTe crystal, from Alexandria.

## Properties
symmetry: P-6m2 (187)
energy relative to the elements, uncorrected: -1.05 eV per atom
calculated volume: 80 Å³/cell
energy above the lowest structure with this stoichiometry: 0.0000 eV per atom

CIF file:
```
data_LiEuTe
_space_group_name_H-M_alt 'P 1'
_space_group_IT_number 1
_cell_length_a 4.575
_cell_length_b 4.575
_cell_length_c 4.420
_cell_angle_alpha 90.00
_cell_angle_beta 90.00
_cell_angle_gamma 120.00
loop_
_space_group_symop_operation_xyz
'x,y,z'
loop_
_atom_site_label
_atom_site_type_symbol
_atom_site_fract_x
_atom_site_fract_y
_atom_site_fract_z
Li1 Li 0.000 0.000 0.000
Eu1 Eu 0.333 0.667 0.500
Te1 Te 0.667 0.333 0.000
```